The following is a DFT calculation (PBE-GGA) of a relaxed structure of Ti5Cu2.

The space group is Pbam (No. 55) and the conventional cell measures 11.3468, 13.7122 and 2.8821 Å, with angles of 90.00, 90.00 and 90.00 degrees. The distinct sites, in fractional coordinates, are Ti at (0.0159, 0.0964, 0.0000), Ti at (0.0901, 0.4185, 0.5000), Ti at (0.1318, 0.5991, 0.0000), Ti at (0.1833, 0.2068, 0.5000), Ti at (0.1890, 0.0002, 0.5000), Cu at (0.0494, 0.7477, 0.5000) and Cu at (0.2073, 0.8333, 0.0000).

The value obtained for the magnetization is 0.0 μB/f.u. The calculation puts the density of states at the Fermi level at 7.0 states/eV/f.u. For the formation energy, the calculation gives 0.051 eV/atom.